# 1
Entry from OQMD: a relaxed structure of Zn2HgBi (PBE-GGA).

a b c (Å): 7.166 7.166 7.166
angles (deg): 90.00 90.00 90.00
Fractional positions:
1 Zn 0.000 0.000 0.000
2 Zn 0.000 0.500 0.500
3 Zn 0.250 0.250 0.250
4 Zn 0.250 0.750 0.750
5 Zn 0.500 0.000 0.500
6 Zn 0.500 0.500 0.000
7 Zn 0.750 0.250 0.750
8 Zn 0.750 0.750 0.250
9 Hg 0.250 0.250 0.750
10 Hg 0.250 0.750 0.250
11 Hg 0.750 0.250 0.250
12 Hg 0.750 0.750 0.750
13 Bi 0.000 0.000 0.500
14 Bi 0.000 0.500 0.000
15 Bi 0.500 0.000 0.000
16 Bi 0.500 0.500 0.500



# 2
Entry from OQMD: a relaxed structure of La2AgSn (PBE-GGA).

a b c (Å): 5.435 5.435 3.989
angles (deg): 90.00 90.00 90.00
Fractional positions:
1 La 0.000 0.500 0.000
2 La 0.500 0.000 0.000
3 Ag 0.000 0.000 0.500
4 Sn 0.500 0.500 0.500



# 3
Entry from OQMD: a relaxed structure of Y2Mg3Os (PBE-GGA).

a b c (Å): 5.642 5.642 9.594
angles (deg): 90.00 90.00 120.00
Fractional positions:
1 Y 0.333 0.667 0.052
2 Y 0.333 0.667 0.448
3 Y 0.667 0.333 0.552
4 Y 0.667 0.333 0.948
5 Mg 0.162 0.324 0.750
6 Mg 0.162 0.838 0.750
7 Mg 0.324 0.162 0.250
8 Mg 0.676 0.838 0.750
9 Mg 0.838 0.162 0.250
10 Mg 0.838 0.676 0.250
11 Os 0.000 0.000 0.000
12 Os 0.000 0.000 0.500



Let's list total energy in order: -23.8; -18.8; -58.0 eV per cell.